Record 1
Density functional theory data (PBE) for a geometry-optimized YReOF2 structure.

Properties
Raw formation energy in eV/atom: -1.14
DOS at the Fermi energy in states/eV per atom: 0.654
Magnetization in μB/cell: 0.44
Excess energy over the best structure of this formula in the dataset in meV/atom: 260
Space group: P4/mmm, No. 123
V in Å³ per atom: 15.651

POSCAR file:
```
YReOF2
1.0
4.573 0.000 0.000
0.000 4.573 0.000
0.000 0.000 3.742
Y Re O F
1 1 1 2
direct
0.000 0.000 0.000
0.500 0.500 0.500
0.500 0.500 0.000
0.000 0.500 0.500
0.500 0.000 0.500
```

***

Record 2
Density functional theory data (PBE) for a geometry-optimized YReO4F2 structure.

Properties
Raw formation energy in eV/atom: -2.56
DOS at the Fermi energy in states/eV per atom: 0.000
Magnetization in μB/cell: 0.00
Space group: P1, No. 1
V in Å³ per atom: 15.747

POSCAR file:
```
YReO4F2
1.0
4.620 0.000 0.000
1.345 5.275 0.000
1.959 -0.236 5.170
Y Re O F
1 1 4 2
direct
0.000 0.000 0.000
0.154 0.450 0.451
0.044 0.203 0.344
0.062 0.361 0.781
0.556 0.378 0.256
0.943 0.718 0.333
0.247 0.761 0.646
0.553 0.958 0.960
```

***

Record 3
Density functional theory data (PBE) for a geometry-optimized YReO4F structure.

Properties
Raw formation energy in eV/atom: -2.47
DOS at the Fermi energy in states/eV per atom: 0.198
Magnetization in μB/cell: 2.00
Space group: C2/m, No. 12
V in Å³ per atom: 16.669

POSCAR file:
```
YReO4F
1.0
4.864 -3.558 0.000
4.864 3.558 0.000
-2.044 0.000 6.744
Y Re O F
2 2 8 2
direct
0.199 0.199 0.089
0.801 0.801 0.911
0.354 0.354 0.705
0.646 0.646 0.295
0.112 0.470 0.851
0.255 0.255 0.454
0.458 0.458 0.236
0.470 0.112 0.851
0.530 0.888 0.149
0.542 0.542 0.764
0.745 0.745 0.546
0.888 0.530 0.149
0.008 0.008 0.827
0.992 0.992 0.173
```

***

Record 4
Density functional theory data (PBE) for a geometry-optimized YReOF2 structure.

Properties
Raw formation energy in eV/atom: -1.40
DOS at the Fermi energy in states/eV per atom: 0.160
Magnetization in μB/cell: 5.87
Excess energy over the best structure of this formula in the dataset in meV/atom: 0
Space group: P4/mmm, No. 123
V in Å³ per atom: 17.726

POSCAR file:
```
YReOF2
1.0
4.463 0.000 0.000
0.000 4.463 0.000
0.000 0.000 4.450
Y Re O F
1 1 1 2
direct
0.000 0.000 0.000
0.500 0.500 0.500
0.000 0.000 0.500
0.000 0.500 0.000
0.500 0.000 0.000
```

***

Record 5
Density functional theory data (PBE) for a geometry-optimized ZrReOF2 structure.

Properties
Raw formation energy in eV/atom: -1.10
DOS at the Fermi energy in states/eV per atom: 0.553
Magnetization in μB/cell: 5.00
Excess energy over the best structure of this formula in the dataset in meV/atom: 0
Space group: P4/mmm, No. 123
V in Å³ per atom: 16.179

POSCAR file:
```
ZrReOF2
1.0
4.438 0.000 0.000
0.000 4.438 0.000
0.000 0.000 4.108
Zr Re O F
1 1 1 2
direct
0.000 0.000 0.000
0.500 0.500 0.500
0.000 0.000 0.500
0.000 0.500 0.000
0.500 0.000 0.000
```

***

Record 6
Density functional theory data (PBE) for a geometry-optimized ZrReOF2 structure.

Properties
Raw formation energy in eV/atom: -0.61
DOS at the Fermi energy in states/eV per atom: 0.826
Magnetization in μB/cell: 1.70
Excess energy over the best structure of this formula in the dataset in meV/atom: 481
Space group: P4/mmm, No. 123
V in Å³ per atom: 15.015

POSCAR file:
```
ZrReOF2
1.0
4.482 0.000 0.000
0.000 4.482 0.000
0.000 0.000 3.738
Zr Re O F
1 1 1 2
direct
0.000 0.000 0.000
0.500 0.500 0.500
0.500 0.500 0.000
0.000 0.500 0.500
0.500 0.000 0.500
```

***

Record 7
Density functional theory data (PBE) for a geometry-optimized RhOF2 structure.

Properties
Raw formation energy in eV/atom: -0.91
DOS at the Fermi energy in states/eV per atom: 0.737
Magnetization in μB/cell: 0.00
Excess energy over the best structure of this formula in the dataset in meV/atom: 153
Space group: I-42d, No. 122
V in Å³ per atom: 14.211

POSCAR file:
```
RhOF2
1.0
-3.950 3.950 1.822
3.950 -3.950 1.822
3.950 3.950 -1.822
Rh O F
2 2 4
direct
0.000 0.000 0.000
0.750 0.250 0.500
0.250 0.750 0.500
0.500 0.500 0.000
0.375 0.205 0.330
0.795 0.125 0.170
0.875 0.045 0.670
0.955 0.625 0.830
```

***

Record 8
Density functional theory data (PBE) for a geometry-optimized RhOF3 structure.

Properties
Raw formation energy in eV/atom: 0.41
DOS at the Fermi energy in states/eV per atom: 1.159
Magnetization in μB/cell: 2.80
Space group: Pm-3m, No. 221
V in Å³ per atom: 11.747

POSCAR file:
```
RhOF3
1.0
3.887 0.000 0.000
0.000 3.887 0.000
0.000 0.000 3.887
Rh O F
1 1 3
direct
0.000 0.000 0.000
0.500 0.500 0.500
0.000 0.500 0.500
0.500 0.000 0.500
0.500 0.500 0.000
```

***

Record 9
Density functional theory data (PBE) for a geometry-optimized RhOF2 structure.

Properties
Raw formation energy in eV/atom: 0.04
DOS at the Fermi energy in states/eV per atom: 0.777
Magnetization in μB/cell: 5.00
Excess energy over the best structure of this formula in the dataset in meV/atom: 1103
Space group: Fm-3m, No. 225
V in Å³ per atom: 10.685

POSCAR file:
```
RhOF2
1.0
0.000 2.775 2.775
2.775 0.000 2.775
2.775 2.775 0.000
Rh O F
1 1 2
direct
0.000 0.000 0.000
0.500 0.500 0.500
0.250 0.250 0.250
0.750 0.750 0.750
```

***

Record 10
Density functional theory data (PBE) for a geometry-optimized RhOF3 structure.

Properties
Raw formation energy in eV/atom: -0.93
Magnetization in μB/cell: 0.00
Space group: P2_1/m, No. 11
V in Å³ per atom: 15.125

POSCAR file:
```
RhOF3
1.0
4.290 0.000 0.000
0.000 7.026 0.000
-1.884 0.000 5.017
Rh O F
2 2 6
direct
0.084 0.250 0.062
0.916 0.750 0.938
0.362 0.250 0.370
0.638 0.750 0.630
0.005 0.062 0.779
0.005 0.438 0.779
0.395 0.750 0.032
0.605 0.250 0.968
0.995 0.562 0.221
0.995 0.938 0.221
```

***

Record 11
Density functional theory data (PBE) for a geometry-optimized RhO2F2 structure.

Properties
Raw formation energy in eV/atom: -0.35
DOS at the Fermi energy in states/eV per atom: 0.884
Magnetization in μB/cell: 0.06
Space group: P4/mmm, No. 123
V in Å³ per atom: 11.521

POSCAR file:
```
RhO2F2
1.0
3.766 0.000 0.000
0.000 3.766 0.000
0.000 0.000 4.061
Rh O F
1 2 2
direct
0.000 0.000 0.000
0.000 0.500 0.000
0.500 0.000 0.000
0.000 0.000 0.500
0.500 0.500 0.500
```

***

Record 12
Density functional theory data (PBE) for a geometry-optimized RhO2F2 structure.

Properties
Raw formation energy in eV/atom: 0.95
DOS at the Fermi energy in states/eV per atom: 0.754
Magnetization in μB/cell: 3.78
Space group: P4/mmm, No. 123
V in Å³ per atom: 11.131

POSCAR file:
```
RhO2F2
1.0
3.539 0.000 0.000
0.000 3.539 0.000
0.000 0.000 4.444
Rh O F
1 2 2
direct
0.000 0.000 0.000
0.000 0.500 0.500
0.500 0.000 0.500
0.500 0.500 0.000
0.500 0.500 0.500
```

***

Record 13
Density functional theory data (PBE) for a geometry-optimized RhO2F2 structure.

Properties
Raw formation energy in eV/atom: 0.71
DOS at the Fermi energy in states/eV per atom: 1.099
Magnetization in μB/cell: 3.06
Space group: P4/mmm, No. 123
V in Å³ per atom: 10.884

POSCAR file:
```
RhO2F2
1.0
3.878 0.000 0.000
0.000 3.878 0.000
0.000 0.000 3.618
Rh O F
1 2 2
direct
0.000 0.000 0.000
0.500 0.500 0.000
0.500 0.500 0.500
0.000 0.500 0.500
0.500 0.000 0.500
```

***

Record 14
Density functional theory data (PBE) for a geometry-optimized Rh2OF structure.

Properties
Raw formation energy in eV/atom: 0.28
DOS at the Fermi energy in states/eV per atom: 1.126
Magnetization in μB/cell: 4.88
Excess energy over the best structure of this formula in the dataset in meV/atom: 433
Space group: Fm-3m, No. 225
V in Å³ per atom: 11.906

POSCAR file:
```
Rh2OF
1.0
0.000 2.877 2.877
2.877 0.000 2.877
2.877 2.877 0.000
Rh O F
2 1 1
direct
0.250 0.250 0.250
0.750 0.750 0.750
0.000 0.000 0.000
0.500 0.500 0.500
```

***

Record 15
Density functional theory data (PBE) for a geometry-optimized Rh2OF structure.

Properties
Raw formation energy in eV/atom: -0.15
DOS at the Fermi energy in states/eV per atom: 1.004
Magnetization in μB/cell: 2.10
Excess energy over the best structure of this formula in the dataset in meV/atom: 0
Space group: I-42d, No. 122
V in Å³ per atom: 13.515

POSCAR file:
```
Rh2OF
1.0
-2.034 2.034 6.531
2.034 -2.034 6.531
2.034 2.034 -6.531
Rh O F
4 2 2
direct
0.060 0.625 0.935
0.375 0.310 0.435
0.690 0.125 0.065
0.875 0.940 0.565
0.000 0.000 0.000
0.750 0.250 0.500
0.250 0.750 0.500
0.500 0.500 0.000
```

***

Record 16
Density functional theory data (PBE) for a geometry-optimized RhOF2 structure.

Properties
Raw formation energy in eV/atom: -0.02
DOS at the Fermi energy in states/eV per atom: 0.579
Magnetization in μB/cell: 3.46
Excess energy over the best structure of this formula in the dataset in meV/atom: 1041
Space group: R-3m, No. 166
V in Å³ per atom: 13.519

POSCAR file:
```
RhOF2
1.0
1.356 0.783 8.491
-1.356 0.783 8.491
0.000 -1.566 8.491
Rh O F
1 1 2
direct
0.000 0.000 0.000
0.500 0.500 0.500
0.074 0.074 0.074
0.926 0.926 0.926
```

***

Record 17
Density functional theory data (PBE) for a geometry-optimized Rh3OF structure.

Properties
Raw formation energy in eV/atom: 0.32
DOS at the Fermi energy in states/eV per atom: 1.518
Magnetization in μB/cell: 0.00
Excess energy over the best structure of this formula in the dataset in meV/atom: 0
Space group: Pm-3m, No. 221
V in Å³ per atom: 13.649

POSCAR file:
```
Rh3OF
1.0
4.087 0.000 0.000
0.000 4.087 0.000
0.000 0.000 4.087
Rh O F
3 1 1
direct
0.000 0.000 0.500
0.000 0.500 0.000
0.500 0.000 0.000
0.000 0.000 0.000
0.500 0.500 0.500
```

***

Record 18
Density functional theory data (PBE) for a geometry-optimized RhOF2 structure.

Properties
Raw formation energy in eV/atom: -1.06
DOS at the Fermi energy in states/eV per atom: 0.390
Magnetization in μB/cell: 0.99
Excess energy over the best structure of this formula in the dataset in meV/atom: 0
Space group: Pmmn, No. 59
V in Å³ per atom: 13.603

POSCAR file:
```
RhOF2
1.0
3.691 0.000 0.000
0.000 8.913 0.000
0.000 0.000 3.308
Rh O F
2 2 4
direct
0.250 0.250 0.249
0.750 0.750 0.751
0.250 0.750 0.734
0.750 0.250 0.266
0.250 0.110 0.753
0.250 0.390 0.753
0.750 0.610 0.247
0.750 0.890 0.247
```

***

Record 19
Density functional theory data (PBE) for a geometry-optimized RhOF3 structure.

Properties
Raw formation energy in eV/atom: -0.19
DOS at the Fermi energy in states/eV per atom: 5.105
Magnetization in μB/cell: 0.00
Space group: Pm-3m, No. 221
V in Å³ per atom: 12.781

POSCAR file:
```
RhOF3
1.0
3.998 0.000 0.000
0.000 3.998 0.000
0.000 0.000 3.998
Rh O F
1 1 3
direct
0.000 0.000 0.000
0.500 0.500 0.500
0.000 0.000 0.500
0.000 0.500 0.000
0.500 0.000 0.000
```

***

Record 20
Density functional theory data (PBE) for a geometry-optimized RuRhOF2 structure.

Properties
Raw formation energy in eV/atom: -0.29
DOS at the Fermi energy in states/eV per atom: 1.412
Magnetization in μB/cell: 2.17
Excess energy over the best structure of this formula in the dataset in meV/atom: 0
Space group: P4/mmm, No. 123
V in Å³ per atom: 13.851

POSCAR file:
```
RuRhOF2
1.0
4.336 0.000 0.000
0.000 4.336 0.000
0.000 0.000 3.683
Ru Rh O F
1 1 1 2
direct
0.000 0.000 0.000
0.500 0.500 0.500
0.000 0.000 0.500
0.000 0.500 0.000
0.500 0.000 0.000
```

***

Record 21
Density functional theory data (PBE) for a geometry-optimized RuRhOF2 structure.

Properties
Raw formation energy in eV/atom: -0.07
DOS at the Fermi energy in states/eV per atom: 1.144
Magnetization in μB/cell: 3.13
Excess energy over the best structure of this formula in the dataset in meV/atom: 221
Space group: P4/mmm, No. 123
V in Å³ per atom: 14.383

POSCAR file:
```
RuRhOF2
1.0
4.395 0.000 0.000
0.000 4.395 0.000
0.000 0.000 3.722
Ru Rh O F
1 1 1 2
direct
0.000 0.000 0.000
0.500 0.500 0.500
0.500 0.500 0.000
0.000 0.500 0.500
0.500 0.000 0.500
```

***

Record 22
Density functional theory data (PBE) for a geometry-optimized RhSO2F structure.

Properties
Raw formation energy in eV/atom: 0.20
DOS at the Fermi energy in states/eV per atom: 0.283
Magnetization in μB/cell: 2.18
Space group: P4/mmm, No. 123
V in Å³ per atom: 14.007

POSCAR file:
```
RhSO2F
1.0
3.472 0.000 0.000
0.000 3.472 0.000
0.000 0.000 5.810
Rh S O F
1 1 2 1
direct
0.000 0.000 0.000
0.500 0.500 0.500
0.000 0.500 0.500
0.500 0.000 0.500
0.500 0.500 0.000
```

***

Record 23
Density functional theory data (PBE) for a geometry-optimized RhSOF2 structure.

Properties
Raw formation energy in eV/atom: -0.13
DOS at the Fermi energy in states/eV per atom: 1.274
Magnetization in μB/cell: 0.00
Excess energy over the best structure of this formula in the dataset in meV/atom: 0
Space group: P4/mmm, No. 123
V in Å³ per atom: 13.604

POSCAR file:
```
RhSOF2
1.0
4.264 0.000 0.000
0.000 4.264 0.000
0.000 0.000 3.742
Rh S O F
1 1 1 2
direct
0.000 0.000 0.000
0.500 0.500 0.500
0.000 0.000 0.500
0.000 0.500 0.000
0.500 0.000 0.000
```

***

Record 24
Density functional theory data (PBE) for a geometry-optimized RhSO2F structure.

Properties
Raw formation energy in eV/atom: 0.10
DOS at the Fermi energy in states/eV per atom: 0.793
Magnetization in μB/cell: 0.00
Space group: P4/mmm, No. 123
V in Å³ per atom: 12.475

POSCAR file:
```
RhSO2F
1.0
3.921 0.000 0.000
0.000 3.921 0.000
0.000 0.000 4.056
Rh S O F
1 1 2 1
direct
0.000 0.000 0.000
0.500 0.500 0.500
0.000 0.500 0.000
0.500 0.000 0.000
0.000 0.000 0.500
```

***

Record 25
Density functional theory data (PBE) for a geometry-optimized RhSOF2 structure.

Properties
Raw formation energy in eV/atom: 0.05
DOS at the Fermi energy in states/eV per atom: 1.520
Magnetization in μB/cell: 1.98
Excess energy over the best structure of this formula in the dataset in meV/atom: 180
Space group: P4/mmm, No. 123
V in Å³ per atom: 14.001

POSCAR file:
```
RhSOF2
1.0
4.548 0.000 0.000
0.000 4.548 0.000
0.000 0.000 3.385
Rh S O F
1 1 1 2
direct
0.000 0.000 0.000
0.500 0.500 0.500
0.500 0.500 0.000
0.000 0.500 0.500
0.500 0.000 0.500
```

***

Record 26
Density functional theory data (PBE) for a geometry-optimized SbRhOF2 structure.

Properties
Raw formation energy in eV/atom: -0.59
DOS at the Fermi energy in states/eV per atom: 1.118
Magnetization in μB/cell: 0.00
Space group: P4/mmm, No. 123
V in Å³ per atom: 14.595

POSCAR file:
```
SbRhOF2
1.0
4.295 0.000 0.000
0.000 4.295 0.000
0.000 0.000 3.955
Sb Rh O F
1 1 1 2
direct
0.000 0.000 0.000
0.500 0.500 0.500
0.500 0.500 0.000
0.000 0.500 0.500
0.500 0.000 0.500
```

***

Record 27
Density functional theory data (PBE) for a geometry-optimized ScRhOF2 structure.

Properties
Raw formation energy in eV/atom: -1.14
DOS at the Fermi energy in states/eV per atom: 0.988
Magnetization in μB/cell: 0.00
Excess energy over the best structure of this formula in the dataset in meV/atom: 841
Space group: P4/mmm, No. 123
V in Å³ per atom: 13.982

POSCAR file:
```
ScRhOF2
1.0
4.169 0.000 0.000
0.000 4.169 0.000
0.000 0.000 4.021
Sc Rh O F
1 1 1 2
direct
0.000 0.000 0.000
0.500 0.500 0.500
0.500 0.500 0.000
0.000 0.500 0.500
0.500 0.000 0.500
```